VASP calculation (PBE-GGA) on a relaxed HfTa3Ni crystal.

Lattice parameters (Å, degrees): 4.644 4.644 4.644 90.00 90.00 90.00
Positions (direct):
1 Ni 0.000 0.000 0.000
2 Hf 0.500 0.500 0.500
3 Ta 0.000 0.500 0.000
4 Ta 0.000 0.000 0.500
5 Ta 0.500 0.000 0.000

Summary:
E above lowest polymorph ... 0.000 eV/atom
Spin magnetization ... 0.000 μB per cell
DFT formation energy ... 3.60 eV per formula unit